No. 1
# Nb3FeCo

A crystal of Nb3FeCo relaxed with PBEsol (SCAN, Alexandria via LeMat-Bulk).

Cell lengths 4.509, 4.509, 4.509 Å; angles 90.00, 90.00, 90.00 degrees
Site moments in Bohr magnetons follow the coordinates.
Atoms (fractional coordinates):
Nb 0.000 0.000 0.500  -0.19
Nb 0.500 0.000 0.000  -0.19
Nb 0.000 0.500 0.000  -0.19
Fe 0.500 0.500 0.500  3.34
Co 0.000 0.000 0.000  -0.07

Values from the calculation:
The formation energy is 914 meV per atom.

***

No. 2
# Nb2FeCo3

A crystal of Nb2FeCo3 relaxed with PBEsol (SCAN, Alexandria via LeMat-Bulk).

Cell lengths 4.739, 4.739, 7.621 Å; angles 90.00, 90.00, 120.00 degrees
Site moments in Bohr magnetons follow the coordinates.
Atoms (fractional coordinates):
Co 0.169 0.831 0.750  0.69
Co 0.831 0.663 0.250  0.69
Co 0.831 0.169 0.250  0.69
Co 0.337 0.169 0.250  0.69
Co 0.169 0.337 0.750  0.69
Co 0.663 0.831 0.750  0.69
Nb 0.333 0.667 0.064  -0.52
Nb 0.667 0.333 0.564  -0.52
Nb 0.667 0.333 0.936  -0.52
Nb 0.333 0.667 0.436  -0.52
Fe 0.000 0.000 0.000  2.50
Fe 0.000 0.000 0.500  2.50

Values from the calculation:
The formation energy is -50 meV per atom.

***

No. 3
# Nb2FeCo

A crystal of Nb2FeCo relaxed with PBEsol (SCAN, Alexandria via LeMat-Bulk).

Cell lengths 4.301, 4.301, 4.301 Å; angles 60.00, 60.00, 60.00 degrees
Site moments in Bohr magnetons follow the coordinates.
Atoms (fractional coordinates):
Fe 0.000 0.000 0.000  1.69
Nb 0.750 0.750 0.750  -0.12
Nb 0.250 0.250 0.250  -0.12
Co 0.500 0.500 0.500  1.57

Values from the calculation:
The formation energy is -66 meV per atom.